Entry 1:
Computed, not measured: a relaxed structure of ZrTcRu2 at the PBE level of DFT.

abc: 3.238 3.238 6.198
angles: 90.00 90.00 90.00
Sites, in units of the cell vectors:
Zr (0.000, 0.000, 0.000)
Tc (0.500, 0.500, 0.703)
Ru (0.000, 0.000, 0.512)
Ru (0.500, 0.500, 0.239)

Values from the calculation:
Its space-group type is P4mm. The value obtained for the formation energy is 47 meV per atom. Its total moment is 0.0 Bohr magnetons per cell. As for the density of states at the Fermi level: 5.6 states/eV/cell.

Entry 2:
Computed, not measured: a relaxed structure of Te2WBr at the PBE level of DFT.

abc: 3.471 5.073 5.090
angles: 90.00 90.00 90.00
Sites, in units of the cell vectors:
Te (0.000, 0.000, 0.000)
Te (0.500, 0.000, 0.500)
W (0.000, 0.500, 0.500)
Br (0.500, 0.500, 0.000)

Values from the calculation:
The uncorrected formation energy comes out at 110.6 kJ per mole of atoms. Its space-group type is Pmmm. Its total moment is 0.7 Bohr magnetons per cell. As for the density of states at the Fermi level: 4.0 states/eV/cell.

Entry 3:
Computed, not measured: a relaxed structure of SrAgI at the PBE level of DFT.

abc: 4.878 4.878 11.839
angles: 102.13 102.13 59.03
Sites, in units of the cell vectors:
Sr (0.000, 0.000, 0.000)
Sr (0.119, 0.119, 0.354)
Ag (0.395, 0.395, 0.177)
Ag (0.725, 0.725, 0.177)
I (0.277, 0.277, 0.843)
I (0.502, 0.502, 0.511)

Values from the calculation:
The uncorrected formation energy comes out at -89.4 kJ per mole of atoms. Its space-group type is Cm. Its total moment is 0.0 Bohr magnetons per cell. As for the density of states at the Fermi level: 1.9 states/eV/cell.

Entry 4:
Computed, not measured: a relaxed structure of Ba2ZrRe at the PBE level of DFT.

abc: 6.474 6.474 3.141
angles: 90.34 90.34 122.69
Sites, in units of the cell vectors:
Ba (0.000, 0.500, 0.000)
Ba (0.500, 0.000, 0.000)
Zr (0.000, 0.000, 0.500)
Re (0.500, 0.500, 0.500)

Values from the calculation:
Its space-group type is C2/m. The value obtained for the formation energy is 1190 meV per atom. Its total moment is 0.0 Bohr magnetons per cell. As for the density of states at the Fermi level: 4.1 states/eV/cell.

Entry 5:
Computed, not measured: a relaxed structure of AlMo4Ru at the PBE level of DFT.

abc: 5.169 5.169 5.169
angles: 60.00 60.00 60.00
Sites, in units of the cell vectors:
Al (0.000, 0.000, 0.000)
Mo (0.121, 0.626, 0.626)
Mo (0.626, 0.121, 0.626)
Mo (0.626, 0.626, 0.121)
Mo (0.626, 0.626, 0.626)
Ru (0.250, 0.250, 0.250)

Values from the calculation:
Its space-group type is F-43m. The value obtained for the formation energy is 282 meV per atom. Its total moment is 0.0 Bohr magnetons per cell. As for the density of states at the Fermi level: 6.7 states/eV/cell.

Entry 6:
Computed, not measured: a relaxed structure of Dy3Al2In at the PBE level of DFT.

abc: 3.602 3.602 11.277
angles: 90.00 90.00 90.00
Sites, in units of the cell vectors:
Dy (0.000, 0.000, 0.000)
Dy (0.000, 0.000, 0.321)
Dy (0.000, 0.000, 0.679)
Al (0.500, 0.500, 0.161)
Al (0.500, 0.500, 0.839)
In (0.500, 0.500, 0.500)

Values from the calculation:
Its space-group type is P4/mmm. The value obtained for the formation energy is -417 meV per atom. Its total moment is 0.0 Bohr magnetons per cell. As for the density of states at the Fermi level: 2.1 states/eV/cell.